A relaxed NaLaGa2Cl crystal. Source: the Alexandria database, functional GGA-PBEsol.

Properties
The total magnetic moment is 0.0 μB per formula unit. Its uncorrected energy is -15.81 eV/cell. The uncorrected formation energy is -1.74 kcal/mol of atoms. Its density of states at the Fermi level is 7.0 states/eV/f.u. The volume comes out at 37.5 Å³/atom.

abc: 5.868 5.868 5.452
angles: 90.00 90.00 90.00
Fractional positions:
Na 0.000 0.000 0.000
La 0.500 0.500 0.500
Ga 0.000 0.500 0.500
Ga 0.500 0.000 0.500
Cl 0.500 0.500 0.000

***

A relaxed LaGaS2Cl crystal. Source: the Alexandria database, functional GGA-PBEsol.

Properties
The total magnetic moment is 0.2 μB per formula unit. Its uncorrected energy is -25.21 eV/cell. The uncorrected formation energy is -26.53 kcal/mol of atoms. Its density of states at the Fermi level is 3.6 states/eV/f.u. The volume comes out at 21.2 Å³/atom.

abc: 4.766 4.766 4.670
angles: 90.00 90.00 90.00
Fractional positions:
La 0.000 0.000 0.000
Ga 0.500 0.500 0.500
S 0.000 0.500 0.500
S 0.500 0.000 0.500
Cl 0.500 0.500 0.000

***

A relaxed Li4Ga3Si3ClO12 crystal. Source: the Alexandria database, functional GGA-PBEsol.

Properties
The total magnetic moment is 0.2 μB per formula unit. Its uncorrected energy is -308.51 eV/cell. The uncorrected formation energy is -54.27 kcal/mol of atoms. Its density of states at the Fermi level is 0.0 states/eV/f.u. The volume comes out at 13.3 Å³/atom.

abc: 8.497 8.497 8.497
angles: 90.00 90.00 90.00
Fractional positions:
Li 0.170 0.170 0.170
Li 0.170 0.830 0.830
Li 0.330 0.330 0.670
Li 0.330 0.670 0.330
Li 0.670 0.330 0.330
Li 0.670 0.670 0.670
Li 0.830 0.170 0.830
Li 0.830 0.830 0.170
Ga 0.000 0.250 0.500
Ga 0.000 0.750 0.500
Ga 0.250 0.500 0.000
Ga 0.500 0.000 0.250
Ga 0.500 0.000 0.750
Ga 0.750 0.500 0.000
Si 0.000 0.500 0.250
Si 0.000 0.500 0.750
Si 0.250 0.000 0.500
Si 0.500 0.250 0.000
Si 0.500 0.750 0.000
Si 0.750 0.000 0.500
Cl 0.000 0.000 0.000
Cl 0.500 0.500 0.500
O 0.101 0.374 0.645
O 0.101 0.626 0.355
O 0.126 0.399 0.145
O 0.126 0.601 0.855
O 0.145 0.126 0.399
O 0.145 0.874 0.601
O 0.355 0.101 0.626
O 0.355 0.899 0.374
O 0.374 0.355 0.899
O 0.374 0.645 0.101
O 0.399 0.145 0.126
O 0.399 0.855 0.874
O 0.601 0.145 0.874
O 0.601 0.855 0.126
O 0.626 0.355 0.101
O 0.626 0.645 0.899
O 0.645 0.101 0.374
O 0.645 0.899 0.626
O 0.855 0.126 0.601
O 0.855 0.874 0.399
O 0.874 0.399 0.855
O 0.874 0.601 0.145
O 0.899 0.374 0.355
O 0.899 0.626 0.645

***

A relaxed LiGaP2Cl crystal. Source: the Alexandria database, functional GGA-PBEsol.

Properties
The total magnetic moment is 0.9 μB per formula unit. Its uncorrected energy is -17.82 eV/cell. The uncorrected formation energy is 4.99 kcal/mol of atoms. Its density of states at the Fermi level is 3.4 states/eV/f.u. The volume comes out at 22.8 Å³/atom.

abc: 4.599 4.599 5.396
angles: 90.00 90.00 90.00
Fractional positions:
Li 0.000 0.000 0.000
Ga 0.500 0.500 0.500
P 0.000 0.500 0.500
P 0.500 0.000 0.500
Cl 0.500 0.500 0.000

***

A relaxed LiGaSi2Cl crystal. Source: the Alexandria database, functional GGA-PBEsol.

Properties
The total magnetic moment is 0.0 μB per formula unit. Its uncorrected energy is -16.57 eV/cell. The uncorrected formation energy is 10.34 kcal/mol of atoms. Its density of states at the Fermi level is 1.8 states/eV/f.u. The volume comes out at 19.6 Å³/atom.

abc: 4.830 4.830 4.209
angles: 90.00 90.00 90.00
Fractional positions:
Li 0.000 0.000 0.000
Ga 0.500 0.500 0.000
Si 0.000 0.500 0.500
Si 0.500 0.000 0.500
Cl 0.000 0.000 0.500

***

A relaxed MgGaCl2 crystal. Source: the Alexandria database, functional GGA-PBEsol.

Properties
The total magnetic moment is 0.0 μB per formula unit. Its uncorrected energy is -11.63 eV/cell. The uncorrected formation energy is -14.75 kcal/mol of atoms. Its density of states at the Fermi level is 1.3 states/eV/f.u. The volume comes out at 21.1 Å³/atom.

abc: 4.922 4.922 4.922
angles: 60.00 60.00 60.00
Fractional positions:
Mg 0.000 0.000 0.000
Ga 0.500 0.500 0.500
Cl 0.250 0.250 0.250
Cl 0.750 0.750 0.750

***

A relaxed Mg2Ga2Cl crystal. Source: the Alexandria database, functional GGA-PBEsol.

Properties
The total magnetic moment is 0.0 μB per formula unit. Its uncorrected energy is -13.56 eV/cell. The uncorrected formation energy is -6.65 kcal/mol of atoms. Its density of states at the Fermi level is 1.9 states/eV/f.u. The volume comes out at 20.8 Å³/atom.

abc: 8.095 8.095 8.095
angles: 153.72 153.72 37.51
Fractional positions:
Mg 0.108 0.108 0.000
Mg 0.892 0.892 0.000
Ga 0.250 0.750 0.500
Ga 0.750 0.250 0.500
Cl 0.500 0.500 0.000

***

A relaxed MnGa3Cl crystal. Source: the Alexandria database, functional GGA-PBEsol.

Properties
The total magnetic moment is 2.5 μB per formula unit. Its uncorrected energy is -21.23 eV/cell. The uncorrected formation energy is 2.60 kcal/mol of atoms. Its density of states at the Fermi level is 6.5 states/eV/f.u. The volume comes out at 21.0 Å³/atom.

abc: 4.721 4.721 4.721
angles: 90.00 90.00 90.00
Fractional positions:
Mn 0.000 0.000 0.000
Ga 0.000 0.000 0.500
Ga 0.000 0.500 0.000
Ga 0.500 0.000 0.000
Cl 0.500 0.500 0.500

***

A relaxed MnGaS2Cl crystal. Source: the Alexandria database, functional GGA-PBEsol.

Properties
The total magnetic moment is 5.0 μB per formula unit. Its uncorrected energy is -23.30 eV/cell. The uncorrected formation energy is 2.65 kcal/mol of atoms. Its density of states at the Fermi level is 1.3 states/eV/f.u. The volume comes out at 20.2 Å³/atom.

abc: 4.670 4.670 4.638
angles: 90.00 90.00 90.00
Fractional positions:
Mn 0.000 0.000 0.000
Ga 0.500 0.500 0.500
S 0.000 0.500 0.500
S 0.500 0.000 0.500
Cl 0.500 0.500 0.000

***

A relaxed MnGaSe2Cl crystal. Source: the Alexandria database, functional GGA-PBEsol.

Properties
The total magnetic moment is 0.4 μB per formula unit. Its uncorrected energy is -23.10 eV/cell. The uncorrected formation energy is -1.33 kcal/mol of atoms. Its density of states at the Fermi level is 3.7 states/eV/f.u. The volume comes out at 19.8 Å³/atom.

abc: 4.441 4.441 5.023
angles: 90.00 90.00 90.00
Fractional positions:
Mn 0.000 0.000 0.000
Ga 0.000 0.000 0.500
Se 0.000 0.500 0.000
Se 0.500 0.000 0.000
Cl 0.500 0.500 0.500

***

A relaxed GaPNCl2 crystal. Source: the Alexandria database, functional GGA-PBEsol.

Properties
The total magnetic moment is 1.1 μB per formula unit. Its uncorrected energy is -16.54 eV/cell. The uncorrected formation energy is 23.70 kcal/mol of atoms. Its density of states at the Fermi level is 1.2 states/eV/f.u. The volume comes out at 22.1 Å³/atom.

abc: 4.749 4.749 4.904
angles: 90.00 90.00 90.00
Fractional positions:
Ga 0.000 0.000 0.000
P 0.000 0.000 0.500
N 0.500 0.500 0.500
Cl 0.000 0.500 0.000
Cl 0.500 0.000 0.000

***

A relaxed NaGaCl3 crystal. Source: the Alexandria database, functional GGA-PBEsol.

Properties
The total magnetic moment is 1.1 μB per formula unit. Its uncorrected energy is -13.65 eV/cell. The uncorrected formation energy is -13.30 kcal/mol of atoms. Its density of states at the Fermi level is 8.1 states/eV/f.u. The volume comes out at 26.7 Å³/atom.

abc: 5.113 5.113 5.113
angles: 90.00 90.00 90.00
Fractional positions:
Na 0.000 0.000 0.000
Ga 0.500 0.500 0.500
Cl 0.000 0.000 0.500
Cl 0.000 0.500 0.000
Cl 0.500 0.000 0.000